(1)
A PBEsol-optimized structure of K2BaSrN. Source: Alexandria, functional SCAN.

## Properties
Crystal system: tetragonal
Raw formation energy (meV per atom): 280
Offset from the most stable computed form (eV/f.u.): 0.00

a = 4.9681 Å, b = 6.4816 Å, c = 6.4816 Å
α = 90.00°, β = 90.00°, γ = 90.00°
With the nearest neighbours (Å) after each atom.
Fractional positions:
Ba1 0.5000 0.0000 0.0000  2 N 2.48
N1 0.0000 0.0000 0.0000  2 Ba 2.48
K1 0.0000 0.0000 0.5000  2 N 3.24
K2 0.0000 0.5000 0.0000  2 N 3.24
Sr1 0.5000 0.5000 0.5000  8 K 4.08

(2)
A PBEsol-optimized structure of KBaTe2N. Source: Alexandria, functional SCAN.

## Properties
Crystal system: tetragonal
Raw formation energy (meV per atom): 138

a = 4.9330 Å, b = 6.0566 Å, c = 6.0566 Å
α = 90.00°, β = 90.00°, γ = 90.00°
With the nearest neighbours (Å) after each atom.
Fractional positions:
Te1 0.0000 0.0000 0.5000  2 K 3.03
Te2 0.0000 0.5000 0.0000  2 K 3.03
Ba1 0.5000 0.5000 0.5000  8 Te 3.91, 4 N 4.28
K1 0.0000 0.0000 0.0000  2 N 2.47
N1 0.5000 0.0000 0.0000  2 K 2.47

(3)
A PBEsol-optimized structure of K2BaNa. Source: Alexandria, functional SCAN.

## Properties
Total DFT energy (no corrections) (eV/atom): -14.9637
Crystal system: cubic

a = 6.9167 Å, b = 6.9167 Å, c = 6.9167 Å
α = 60.00°, β = 60.00°, γ = 60.00°
With the nearest neighbours (Å) after each atom.
Fractional positions:
K1 0.2500 0.2500 0.2500  4 Na 4.24, 4 Ba 4.24
K2 0.7500 0.7500 0.7500  4 Ba 4.24, 4 Na 4.24
Na1 0.0000 0.0000 0.0000  8 K 4.24
Ba1 0.5000 0.5000 0.5000  8 K 4.24

(4)
A PBEsol-optimized structure of K2BaNa2. Source: Alexandria, functional SCAN.

## Properties
Crystal system: tetragonal
Offset from the most stable computed form (eV/f.u.): 0.09

a = 5.6014 Å, b = 5.6014 Å, c = 9.5536 Å
α = 107.05°, β = 107.05°, γ = 90.00°
With the nearest neighbours (Å) after each atom.
Fractional positions:
K1 0.2500 0.7500 0.5000  4 Na 3.92, 4 K 3.96
K2 0.7500 0.2500 0.5000  4 Na 3.92, 4 K 3.96
Na1 0.5919 0.5919 0.1838  1 Na 3.20
Na2 0.4081 0.4081 0.8162  1 Na 3.20
Ba1 0.0000 0.0000 0.0000  8 Na 4.27

(5)
A PBEsol-optimized structure of K2BaNa2. Source: Alexandria, functional SCAN.

## Properties
Crystal system: tetragonal
Offset from the most stable computed form (eV/f.u.): 0.00

a = 4.2693 Å, b = 11.1293 Å, c = 11.1293 Å
α = 90.00°, β = 90.00°, γ = 90.00°
With the nearest neighbours (Å) after each atom.
Fractional positions:
Na1 0.5000 0.8246 0.3246  6 K 3.76-4.03
Na2 0.5000 0.6754 0.8246  6 K 3.76-4.03
Na3 0.5000 0.3246 0.1754  6 K 3.76-4.03
Na4 0.5000 0.1754 0.6754  6 K 3.76-4.03
K1 0.0000 0.8721 0.6279  6 Na 3.76-4.03, 1 K 4.03
K2 0.0000 0.6279 0.1279  6 Na 3.76-4.03, 1 K 4.03
K3 0.0000 0.3721 0.8721  6 Na 3.76-4.03, 1 K 4.03
K4 0.0000 0.1279 0.3721  6 Na 3.76-4.03, 1 K 4.03
Ba1 0.0000 0.0000 0.0000  2 Ba 4.27, 4 K 4.38, 8 Na 4.63
Ba2 0.0000 0.5000 0.5000  2 Ba 4.27, 4 K 4.38, 8 Na 4.63

(6)
A PBEsol-optimized structure of KBa2Nb3O9. Source: Alexandria, functional SCAN.

## Properties
Crystal system: trigonal
Raw formation energy (meV per atom): -2930

a = 5.7662 Å, b = 5.7662 Å, c = 7.0680 Å
α = 90.00°, β = 90.00°, γ = 120.00°
With the nearest neighbours (Å) after each atom.
Fractional positions:
O1 0.5000 0.5000 0.0000  2 Nb 2.03
O2 0.1679 0.3359 0.3359  2 Nb 2.04-2.05
O3 0.3359 0.1679 0.6641  2 Nb 2.04-2.05
O4 0.8321 0.1679 0.6641  2 Nb 2.04-2.05
O5 0.6641 0.8321 0.3359  2 Nb 2.04-2.05
O6 0.0000 0.5000 0.0000  2 Nb 2.03
O7 0.1679 0.8321 0.3359  2 Nb 2.04-2.05
O8 0.8321 0.6641 0.6641  2 Nb 2.04-2.05
O9 0.5000 0.0000 0.0000  2 Nb 2.03
Nb1 0.3333 0.6667 0.1640  6 O 2.03-2.05
Nb2 0.0000 0.0000 0.5000  6 O 2.04
Nb3 0.6667 0.3333 0.8360  6 O 2.03-2.05
K1 0.0000 0.0000 0.0000  12 O 2.88-2.91
Ba1 0.6667 0.3333 0.3290  12 O 2.86-2.89
Ba2 0.3333 0.6667 0.6710  12 O 2.86-2.89

(7)
A PBEsol-optimized structure of K2BaNbOs. Source: Alexandria, functional SCAN.

## Properties
Total DFT energy (no corrections) (eV/atom): -30.5079
Crystal system: tetragonal

a = 5.4201 Å, b = 6.0709 Å, c = 6.0709 Å
α = 90.00°, β = 90.00°, γ = 90.00°
With the nearest neighbours (Å) after each atom.
Fractional positions:
Nb1 0.5000 0.5000 0.5000  8 K 4.07, 4 Ba 4.29
Ba1 0.5000 0.0000 0.0000  2 Os 2.71
K1 0.0000 0.0000 0.5000  2 Os 3.04
K2 0.0000 0.5000 0.0000  2 Os 3.04
Os1 0.0000 0.0000 0.0000  2 Ba 2.71

(8)
A PBEsol-optimized structure of KBaNbS4. Source: Alexandria, functional SCAN.

## Properties
Crystal system: orthorhombic
Raw formation energy (meV per atom): -1636

a = 6.8607 Å, b = 9.1950 Å, c = 12.4637 Å
α = 90.00°, β = 90.00°, γ = 90.00°
With the nearest neighbours (Å) after each atom.
Fractional positions:
S1 0.5140 0.3258 0.3412  1 Nb 2.26
S2 0.2500 0.9844 0.4121  1 Nb 2.28
S3 0.9860 0.3258 0.3412  1 Nb 2.26
S4 0.7500 0.0156 0.5879  1 Nb 2.28
S5 0.7500 0.5156 0.9121  1 Nb 2.28
S6 0.2500 0.3053 0.5985  1 Nb 2.28
S7 0.4860 0.1742 0.8412  1 Nb 2.26
S8 0.0140 0.6742 0.6588  1 Nb 2.26
S9 0.0140 0.1742 0.8412  1 Nb 2.26
S10 0.2500 0.4844 0.0879  1 Nb 2.28
S11 0.2500 0.8053 0.9015  1 Nb 2.28
S12 0.9860 0.8258 0.1588  1 Nb 2.26
S13 0.7500 0.1947 0.0985  1 Nb 2.28
S14 0.7500 0.6947 0.4015  1 Nb 2.28
S15 0.4860 0.6742 0.6588  1 Nb 2.26
S16 0.5140 0.8258 0.1588  1 Nb 2.26
K1 0.7500 0.8640 0.9190  7 S 3.20-3.52
K2 0.7500 0.3640 0.5810  7 S 3.20-3.52
K3 0.2500 0.6360 0.4190  7 S 3.20-3.52
K4 0.2500 0.1360 0.0810  7 S 3.20-3.52
Nb1 0.2500 0.7321 0.0761  4 S 2.26-2.28
Nb2 0.7500 0.2679 0.9239  4 S 2.26-2.28
Nb3 0.2500 0.2321 0.4239  4 S 2.26-2.28
Nb4 0.7500 0.7679 0.5761  4 S 2.26-2.28
Ba1 0.7500 0.5243 0.1732  7 S 3.17-3.26
Ba2 0.2500 0.9757 0.6732  7 S 3.17-3.26
Ba3 0.2500 0.4757 0.8268  7 S 3.17-3.26
Ba4 0.7500 0.0243 0.3268  7 S 3.17-3.26